[1]
VASP calculation (GGA-PBE) on crystalline SiTc2Hg at its relaxed geometry.

Cell: 2.9919 2.9919 6.9600 Å, 90.00 90.00 90.00°
Closest atoms and distances in Å follow each position.
Fractional positions:
Si: 0.0000 0.0000 0.0000  8 Tc 2.51
Tc: 0.5000 0.5000 0.1933  4 Si 2.51, 1 Tc 2.69
Tc: 0.5000 0.5000 0.8067  4 Si 2.51, 1 Tc 2.69
Hg: 0.0000 0.0000 0.5000  4 Hg 2.99, 8 Tc 3.01

Results
The value obtained for the excess energy over the best structure of this formula in the dataset is 0.0 meV per atom. Its uncorrected formation energy is 46 meV/atom.



[2]
VASP calculation (GGA-PBE) on crystalline Zr2ScNbH at its relaxed geometry.

Cell: 4.7508 4.7508 3.9441 Å, 90.00 90.00 90.00°
Closest atoms and distances in Å follow each position.
Fractional positions:
Zr: 0.0000 0.5000 0.0000  2 H 2.38
Zr: 0.5000 0.0000 0.0000  2 H 2.38
Sc: 0.0000 0.0000 0.5000  8 Zr 3.09, 4 Nb 3.36
Nb: 0.5000 0.5000 0.5000  2 H 1.97
H: 0.5000 0.5000 0.0000  2 Nb 1.97

Results
The value obtained for the excess energy over the best structure of this formula in the dataset is 0.0 meV per atom.



[3]
VASP calculation (GGA-PBE) on crystalline Ce4Ge2TeSe at its relaxed geometry.

Cell: 7.4543 4.3015 7.4658 Å, 90.00 109.44 90.00°
Closest atoms and distances in Å follow each position.
Fractional positions:
Ce: 0.2336 0.0000 0.2372  3 Ge 2.96-3.03, 1 Se 3.07, 2 Te 3.13
Ce: 0.2386 0.5000 0.7534  3 Ge 2.96-3.02, 2 Se 3.07, 1 Te 3.13
Ce: 0.7614 0.5000 0.2466  3 Ge 2.96-3.02, 2 Se 3.07, 1 Te 3.13
Ce: 0.7664 0.0000 0.7628  3 Ge 2.96-3.03, 1 Se 3.07, 2 Te 3.13
Ge: 0.0000 0.0000 0.5000  6 Ce 3.02-3.03
Ge: 0.0000 0.5000 0.0000  6 Ce 2.96
Te: 0.5000 0.5000 0.5000  6 Ce 3.13
Se: 0.5000 0.0000 0.0000  6 Ce 3.07

Results
Its uncorrected formation energy is -1171 meV/atom.



[4]
VASP calculation (GGA-PBE) on crystalline NdHo2Pb at its relaxed geometry.

Cell: 5.5259 5.5259 5.5259 Å, 60.00 60.00 60.00°
Closest atoms and distances in Å follow each position.
Fractional positions:
Nd: 0.0000 0.0000 0.0000  4 Ho 3.38, 4 Pb 3.38
Ho: 0.5000 0.5000 0.5000  4 Ho 3.38, 4 Pb 3.38
Ho: 0.7500 0.7500 0.7500  4 Nd 3.38, 4 Ho 3.38
Pb: 0.2500 0.2500 0.2500  4 Ho 3.38, 4 Nd 3.38

Results
The value obtained for the excess energy over the best structure of this formula in the dataset is 190.4 meV per atom. As for the formation energy from the elements: -117 meV per atom.



[5]
VASP calculation (GGA-PBE) on crystalline Mg3Ni9SnP2 at its relaxed geometry.

Cell: 5.6438 5.6438 8.8413 Å, 90.00 90.00 120.00°
Closest atoms and distances in Å follow each position.
Fractional positions:
Mg: 0.0000 0.0000 0.0000  12 Ni 2.68-2.82
Mg: 0.3333 0.6667 0.7410  9 Ni 2.81-2.83
Mg: 0.6667 0.3333 0.2590  9 Ni 2.81-2.83
Ni: 0.0000 0.5000 0.0000  2 P 2.17
Ni: 0.1416 0.2833 0.2594  1 P 2.06
Ni: 0.1416 0.8584 0.2594  1 P 2.06
Ni: 0.2833 0.1416 0.7406  1 P 2.06
Ni: 0.5000 0.0000 0.0000  2 P 2.17
Ni: 0.5000 0.5000 0.0000  2 P 2.17
Ni: 0.7167 0.8584 0.2594  1 P 2.06
Ni: 0.8584 0.1416 0.7406  1 P 2.06
Ni: 0.8584 0.7167 0.7406  1 P 2.06
Sn: 0.0000 0.0000 0.5000  6 Ni 2.54
P: 0.3333 0.6667 0.1618  6 Ni 2.06-2.17
P: 0.6667 0.3333 0.8382  6 Ni 2.06-2.17

Results
As for the formation energy from the elements: -179 meV per atom.



[6]
VASP calculation (GGA-PBE) on crystalline Al2HgP2 at its relaxed geometry.

Cell: 6.1535 6.1535 6.1535 Å, 139.36 139.36 58.82°
Closest atoms and distances in Å follow each position.
Fractional positions:
Al: 0.1245 0.1245 0.0000  4 P 2.53, 1 Al 2.67
Al: 0.8755 0.8755 0.0000  4 P 2.53, 1 Al 2.67
Hg: 0.5000 0.5000 0.0000  8 Al 3.30, 8 P 3.43
P: 0.2500 0.7500 0.5000  4 Al 2.53
P: 0.7500 0.2500 0.5000  4 Al 2.53

Results
The value obtained for the excess energy over the best structure of this formula in the dataset is 300.6 meV per atom. As for the formation energy from the elements: 72 meV per atom.



Number 1: spin magnetization 0.000 μB/cell. Number 2: spin magnetization 0.000 μB/cell. Number 3: spin magnetization 2.966 μB/cell. Number 4: spin magnetization 0.014 μB/cell. Number 5: spin magnetization 0.000 μB/cell. Number 6: spin magnetization 0.000 μB/cell.